No. 1
Computed, not measured: a relaxed structure of MgSbIrPd2 at the PBE-GGA level of DFT.

Calculated values
raw formation energy: 0.631 eV/atom
mass density: 8.0 g/cm³
calculated total energy: -4.36 eV per atom
space-group type: P4/mmm (123)

POSCAR file:
```
MgSbIrPd2
1.0
-3.471 1.456 3.145
1.787 -2.923 3.326
2.940 3.594 1.580
Sb Mg Ir Pd
1 1 1 2
direct
0.500 0.500 0.500
0.000 0.500 0.000
0.000 0.000 0.000
0.000 0.000 0.500
0.500 0.000 0.000
```


No. 2
Computed, not measured: a relaxed structure of SrRhSe2Br at the PBE-GGA level of DFT.

Calculated values
raw formation energy: -0.754 eV/atom
ΔE to the lowest computed polymorph: 0 meV/atom
mass density: 5.6 g/cm³
calculated total energy: -4.29 eV per atom
space-group type: P4/mmm (123)

POSCAR file:
```
SrRhSe2Br
1.0
-0.224 3.736 3.308
-4.597 -1.443 1.319
1.993 -3.062 3.593
Sr Rh Se Br
1 1 2 1
direct
0.500 0.500 0.500
0.000 0.000 0.000
0.000 0.500 0.000
0.500 0.000 0.000
0.000 0.000 0.500
```


No. 3
Computed, not measured: a relaxed structure of Ho2TmPaP4 at the PBE-GGA level of DFT.

Calculated values
mass density: 8.0 g/cm³
calculated total energy: -7.14 eV per atom
space-group type: P2/m (10)
formation enthalpy at 0 K: -12.345 eV per formula unit

POSCAR file:
```
Ho2TmPaP4
1.0
3.974 0.000 0.000
0.000 6.856 0.115
0.000 -2.400 6.436
Ho Tm Pa P
2 1 1 4
direct
0.500 0.000 0.500
0.000 0.500 0.500
0.000 0.000 0.000
0.500 0.500 0.000
0.500 0.251 0.246
0.500 0.749 0.754
0.000 0.251 0.753
0.000 0.749 0.247
```


No. 4
Computed, not measured: a relaxed structure of Ac2Pr3ThTe6 at the PBE-GGA level of DFT.

Calculated values
raw formation energy: -1.370 eV/atom
mass density: 7.6 g/cm³
calculated total energy: -5.44 eV per atom
space-group type: C2/m (12)

POSCAR file:
```
Ac2Pr3ThTe6
1.0
4.580 0.000 0.000
0.000 9.193 0.312
-2.290 -2.665 9.638
Ac Pr Th Te
2 3 1 6
direct
0.837 0.669 0.674
0.163 0.331 0.326
0.500 0.500 0.000
0.830 0.161 0.661
0.170 0.839 0.339
0.500 0.000 0.000
0.335 0.924 0.671
0.666 0.592 0.332
0.665 0.076 0.329
0.994 0.245 0.989
0.006 0.755 0.011
0.334 0.408 0.668
```


No. 5
Computed, not measured: a relaxed structure of La2Zn2Au15 at the PBE-GGA level of DFT.

Calculated values
mass density: 14.5 g/cm³
calculated total energy: -3.54 eV per atom
space-group type: R-3m (166)
formation enthalpy at 0 K: -5.772 eV per formula unit

POSCAR file:
```
La2Zn2Au15
1.0
7.353 0.079 0.070
1.032 7.281 0.070
1.032 0.906 7.225
La Zn Au
2 2 15
direct
0.345 0.345 0.345
0.655 0.655 0.655
0.102 0.102 0.102
0.898 0.898 0.898
0.500 0.000 0.000
0.000 0.000 0.500
0.000 0.500 0.000
0.000 0.697 0.303
0.697 0.303 0.000
0.303 0.000 0.697
0.303 0.697 0.000
0.697 0.000 0.303
0.000 0.303 0.697
0.156 0.645 0.645
0.645 0.645 0.156
0.645 0.156 0.645
0.844 0.355 0.355
0.355 0.355 0.844
0.355 0.844 0.355
```


No. 6
Computed, not measured: a relaxed structure of Ba2ZnBiP at the PBE-GGA level of DFT.

Calculated values
ΔE to the lowest computed polymorph: 0 meV/atom
mass density: 5.3 g/cm³
calculated total energy: -3.71 eV per atom
space-group type: P2_1/m (11)
formation enthalpy at 0 K: -4.161 eV per formula unit

POSCAR file:
```
Ba2ZnBiP
1.0
4.705 0.000 0.000
0.000 7.937 0.177
0.000 -3.201 9.578
Ba Zn Bi P
4 2 2 2
direct
0.750 0.800 0.608
0.750 0.771 0.030
0.250 0.200 0.392
0.250 0.229 0.970
0.250 0.523 0.743
0.750 0.477 0.257
0.250 0.681 0.303
0.750 0.319 0.697
0.250 0.825 0.826
0.750 0.175 0.174
```